Version P
DFT (PBE) results for a relaxed structure of Ce2ThGa6.

Results
- Total magnetization: 1.22 μB per cell

abc: 4.236 8.104 8.104
angles: 53.20 74.85 74.85
Positions (direct):
Ga: 0.000 0.174 0.826
Ga: 0.836 0.844 0.484
Th: 0.500 0.500 0.500
Ga: 0.164 0.156 0.516
Ga: 0.836 0.484 0.844
Ga: 0.000 0.826 0.174
Ce: 0.356 0.144 0.144
Ce: 0.644 0.856 0.856
Ga: 0.164 0.516 0.156

=====

Version Q
DFT (PBE) results for a relaxed structure of Ce2ThGa6.

Results
- Total magnetization: 1.29 μB per cell

abc: 4.229 7.401 7.401
angles: 120.00 90.00 90.00
Positions (direct):
Ce: 0.000 0.667 0.333
Ce: 0.000 0.333 0.667
Ga: 0.500 0.666 0.666
Ga: 0.500 0.334 0.334
Ga: 0.500 0.000 0.666
Ga: 0.500 0.000 0.334
Th: 0.000 0.000 0.000
Ga: 0.500 0.666 0.000
Ga: 0.500 0.334 0.000

=====

Stability order, top to bottom: version Q, version P